Below is Tb2ThSc8 after structural relaxation, with properties calculated at the PBE level.

Computed properties:
Total DFT energy (no corrections) (eV per atom): -5.957
Energy of formation (eV per atom): 0.164
SG: No. 12

Geometry as POSCAR:
```
Tb2ThSc8
1.0
4.237 -7.629 0.000
4.237 7.629 0.000
-2.900 0.000 4.574
Tb Th Sc
2 1 8
Cartesian
4.237 4.688 0.000 Tb
4.237 -4.688 0.000 Tb
2.787 0.000 2.287 Th
-0.337 0.000 1.325 Sc
0.083 1.765 3.740 Sc
2.787 3.190 2.287 Sc
0.083 -1.765 3.740 Sc
5.491 1.765 0.834 Sc
2.787 -3.190 2.287 Sc
5.491 -1.765 0.834 Sc
5.911 0.000 3.250 Sc
```